[1]
Here is crystalline Ag2IBr4 at its relaxed geometry from Alexandria. Energies are from GGA-PBE.

Lattice parameters (Å, degrees): 7.6289 7.6289 7.6289 133.47 133.47 67.92
Atoms (fractional coordinates):
Ag 0.2500 0.7500 0.5000
Ag 0.7500 0.2500 0.5000
I 0.0000 0.0000 0.0000
Br 0.1987 0.5450 0.0000
Br 0.4550 0.4550 0.6538
Br 0.5450 0.1987 0.0000
Br 0.8013 0.8013 0.3462

Summary:
Energy relative to the elements, uncorrected: -36 meV per atom
V: 229.86 Å³/cell
Symmetry: No. 121
Excess energy over the best structure of this formula in the dataset: 0.037 eV/atom

[2]
Here is crystalline Ag2IBr2 at its relaxed geometry from Alexandria. Energies are from GGA-PBE.

Lattice parameters (Å, degrees): 6.9966 7.0503 7.0916 74.41 65.99 75.84
Atoms (fractional coordinates):
Ag 0.1793 0.0000 0.1713
Ag 0.1881 0.4956 0.6486
Ag 0.8119 0.5044 0.3514
Ag 0.8207 0.0000 0.8287
I 0.1673 0.7533 0.9150
I 0.8327 0.2467 0.0850
Br 0.1408 0.2517 0.4257
Br 0.4992 0.7360 0.2398
Br 0.5008 0.2640 0.7602
Br 0.8592 0.7483 0.5743

Summary:
Energy relative to the elements, uncorrected: -226 meV per atom
V: 304.13 Å³/cell
Symmetry: No. 2
Excess energy over the best structure of this formula in the dataset: 0.001 eV/atom

[3]
Here is crystalline AgIBr2 at its relaxed geometry from Alexandria. Energies are from GGA-PBE.

Lattice parameters (Å, degrees): 4.4405 4.4405 8.2220 96.31 96.31 58.02
Atoms (fractional coordinates):
Ag 0.0000 0.0000 0.0000
I 0.5000 0.5000 0.5000
Br 0.3596 0.3596 0.1759
Br 0.6404 0.6404 0.8241

Summary:
Energy relative to the elements, uncorrected: -168 meV per atom
V: 136.43 Å³/cell
Symmetry: No. 12
Excess energy over the best structure of this formula in the dataset: 0.000 eV/atom

[4]
Here is crystalline AgIBr6 at its relaxed geometry from Alexandria. Energies are from GGA-PBE.

Lattice parameters (Å, degrees): 7.2723 7.2723 7.1896 91.98 91.98 120.46
Atoms (fractional coordinates):
Ag 0.0000 0.0000 0.0000
I 0.0005 0.9995 0.5000
Br 0.0108 0.3076 0.7277
Br 0.2934 0.2924 0.2838
Br 0.3082 0.0097 0.7282
Br 0.6924 0.9892 0.2723
Br 0.7076 0.7066 0.7162
Br 0.9903 0.6918 0.2718

Summary:
Energy relative to the elements, uncorrected: 13 meV per atom
V: 326.98 Å³/cell
Symmetry: No. 5

[5]
Here is crystalline Ag5IBr8 at its relaxed geometry from Alexandria. Energies are from GGA-PBE.

Lattice parameters (Å, degrees): 8.4780 8.4780 8.4780 60.00 60.00 60.00
Atoms (fractional coordinates):
Ag 0.0000 0.0000 0.0000
Ag 0.3731 0.3731 0.3731
Ag 0.3731 0.3731 0.8808
Ag 0.3731 0.8808 0.3731
Ag 0.8808 0.3731 0.3731
I 0.7500 0.7500 0.7500
Br 0.1331 0.1331 0.1331
Br 0.1331 0.1331 0.6008
Br 0.1331 0.6008 0.1331
Br 0.1740 0.6087 0.6087
Br 0.6008 0.1331 0.1331
Br 0.6087 0.1740 0.6087
Br 0.6087 0.6087 0.1740
Br 0.6087 0.6087 0.6087

Summary:
Energy relative to the elements, uncorrected: -152 meV per atom
V: 430.89 Å³/cell
Symmetry: No. 216
Excess energy over the best structure of this formula in the dataset: 0.061 eV/atom

[6]
Here is crystalline Ag4I3Br at its relaxed geometry from Alexandria. Energies are from GGA-PBE.

Lattice parameters (Å, degrees): 9.2617 8.0184 7.5579 90.00 90.00 90.00
Atoms (fractional coordinates):
Ag 0.0000 0.1543 0.0000
Ag 0.0000 0.8280 0.5114
Ag 0.2463 0.6690 0.9975
Ag 0.2537 0.3310 0.4975
Ag 0.5000 0.1720 0.0114
Ag 0.5000 0.8457 0.5000
Ag 0.7463 0.3310 0.4975
Ag 0.7537 0.6690 0.9975
I 0.0000 0.1616 0.3781
I 0.2482 0.3316 0.8765
I 0.2518 0.6684 0.3765
I 0.5000 0.8384 0.8781
I 0.7482 0.6684 0.3765
I 0.7518 0.3316 0.8765
Br 0.0000 0.8298 0.8774
Br 0.5000 0.1702 0.3774

Summary:
Energy relative to the elements, uncorrected: -278 meV per atom
V: 561.28 Å³/cell
Symmetry: No. 31
Excess energy over the best structure of this formula in the dataset: 0.000 eV/atom

[7]
Here is crystalline AgIBr at its relaxed geometry from Alexandria. Energies are from GGA-PBE.

Lattice parameters (Å, degrees): 4.5055 6.6506 8.4936 110.09 98.47 93.34
Atoms (fractional coordinates):
Ag 0.1990 0.2543 0.4173
Ag 0.8010 0.7457 0.5827
I 0.0786 0.8952 0.1174
I 0.9214 0.1048 0.8826
Br 0.2398 0.6628 0.3840
Br 0.7602 0.3372 0.6160

Summary:
Energy relative to the elements, uncorrected: -217 meV per atom
V: 234.77 Å³/cell
Symmetry: No. 2
Excess energy over the best structure of this formula in the dataset: 0.000 eV/atom

[8]
Here is crystalline Ag2I4Br3 at its relaxed geometry from Alexandria. Energies are from GGA-PBE.

Lattice parameters (Å, degrees): 8.6907 8.6907 10.6681 98.08 98.08 90.18
Atoms (fractional coordinates):
Ag 0.1231 0.3615 0.0999
Ag 0.3615 0.1231 0.5999
Ag 0.6385 0.8769 0.4001
Ag 0.8769 0.6385 0.9001
I 0.1592 0.6707 0.0532
I 0.2923 0.3673 0.3487
I 0.3293 0.8408 0.4468
I 0.3673 0.2923 0.8487
I 0.6327 0.7077 0.1513
I 0.6707 0.1592 0.5532
I 0.7077 0.6327 0.6513
I 0.8408 0.3293 0.9468
Br 0.0828 0.2596 0.4786
Br 0.2596 0.0828 0.9786
Br 0.4371 0.5629 0.7500
Br 0.5629 0.4371 0.2500
Br 0.7404 0.9172 0.0214
Br 0.9172 0.7404 0.5214

Summary:
Energy relative to the elements, uncorrected: -63 meV per atom
V: 789.62 Å³/cell
Symmetry: No. 15

[9]
Here is crystalline Ag4I3Br at its relaxed geometry from Alexandria. Energies are from GGA-PBE.

Lattice parameters (Å, degrees): 7.1547 7.1547 7.1547 115.47 98.55 114.92
Atoms (fractional coordinates):
Ag 0.2448 0.0000 0.2448
Ag 0.6572 0.3401 0.6829
Ag 0.6572 0.9743 0.3171
Ag 0.7552 0.0000 0.7552
I 0.0991 0.3566 0.7424
I 0.3036 0.8036 0.5000
I 0.6142 0.3566 0.2576
Br 0.8100 0.8100 0.0000

Summary:
Energy relative to the elements, uncorrected: -187 meV per atom
V: 274.46 Å³/cell
Symmetry: No. 44
Excess energy over the best structure of this formula in the dataset: 0.091 eV/atom

[10]
Here is crystalline Ag3IBr6 at its relaxed geometry from Alexandria. Energies are from GGA-PBE.

Lattice parameters (Å, degrees): 8.9299 8.0055 11.2626 90.00 111.51 90.00
Atoms (fractional coordinates):
Ag 0.0024 0.0000 0.3992
Ag 0.3264 0.1353 0.7202
Ag 0.3551 0.5743 0.9418
Ag 0.6449 0.0743 0.0582
Ag 0.6736 0.6353 0.2798
Ag 0.9976 0.5000 0.6008
I 0.3092 0.0803 0.2209
I 0.6908 0.5803 0.7791
Br 0.0186 0.1564 0.6171
Br 0.0262 0.5857 0.8544
Br 0.3018 0.0998 0.9725
Br 0.3345 0.5518 0.7071
Br 0.3415 0.0540 0.4724
Br 0.3716 0.5857 0.1733
Br 0.6284 0.0857 0.8267
Br 0.6585 0.5540 0.5276
Br 0.6655 0.0518 0.2929
Br 0.6982 0.5998 0.0275
Br 0.9738 0.0857 0.1456
Br 0.9814 0.6564 0.3829

Summary:
Energy relative to the elements, uncorrected: -200 meV per atom
V: 749.06 Å³/cell
Symmetry: No. 4

[11]
Here is crystalline Ag4I2Br3 at its relaxed geometry from Alexandria. Energies are from GGA-PBE.

Lattice parameters (Å, degrees): 8.6437 8.6437 7.9734 94.56 94.56 98.72
Atoms (fractional coordinates):
Ag 0.1175 0.6552 0.5076
Ag 0.2114 0.4493 0.9738
Ag 0.3448 0.8825 0.9924
Ag 0.4493 0.2114 0.4738
Ag 0.5507 0.7886 0.5262
Ag 0.6552 0.1175 0.0076
Ag 0.7886 0.5507 0.0262
Ag 0.8825 0.3448 0.4924
I 0.2054 0.3557 0.6199
I 0.3557 0.2054 0.1199
I 0.6443 0.7946 0.8801
I 0.7946 0.6443 0.3801
Br 0.0632 0.6880 0.8777
Br 0.3120 0.9368 0.6223
Br 0.3355 0.6645 0.2500
Br 0.6645 0.3355 0.7500
Br 0.6880 0.0632 0.3777
Br 0.9368 0.3120 0.1223

Summary:
Energy relative to the elements, uncorrected: -223 meV per atom
V: 584.44 Å³/cell
Symmetry: No. 15

[12]
Here is crystalline AgIBr4 at its relaxed geometry from Alexandria. Energies are from GGA-PBE.

Lattice parameters (Å, degrees): 8.8140 8.8140 7.9183 90.71 90.71 126.02
Atoms (fractional coordinates):
Ag 0.2490 0.7510 0.7500
Ag 0.7510 0.2490 0.2500
I 0.1335 0.8665 0.2500
I 0.8665 0.1335 0.7500
Br 0.0270 0.2906 0.0589
Br 0.1698 0.4330 0.5981
Br 0.2906 0.0270 0.5589
Br 0.4330 0.1698 0.0981
Br 0.5670 0.8302 0.9019
Br 0.7094 0.9730 0.4411
Br 0.8302 0.5670 0.4019
Br 0.9730 0.7094 0.9411

Summary:
Energy relative to the elements, uncorrected: -135 meV per atom
V: 497.32 Å³/cell
Symmetry: No. 15
Excess energy over the best structure of this formula in the dataset: 0.000 eV/atom